1.
{"formula": "LuNiB4", "functional": "PBE-GGA", "state": "optimized geometry", "formation_enthalpy_0k_ev_per_atom": -0.57, "cell": [[3.3626, 0.0000, 0.0000], [0.0000, 5.8508, 0.0000], [0.0000, 0.0000, 11.3485]], "species": ["B", "B", "B", "B", "B", "B", "B", "B", "B", "B", "B", "B", "B", "B", "B", "B", "Ni", "Ni", "Ni", "Ni", "Lu", "Lu", "Lu", "Lu"], "fractional_positions": [[0.0000, 0.8637, 0.9672], [0.0000, 0.7138, 0.3143], [0.0000, 0.2138, 0.1857], [0.0000, 0.3862, 0.9523], [0.0000, 0.7862, 0.8143], [0.0000, 0.8862, 0.5477], [0.0000, 0.1363, 0.0328], [0.0000, 0.3637, 0.5328], [0.0000, 0.4788, 0.8077], [0.0000, 0.0212, 0.3077], [0.0000, 0.2862, 0.6857], [0.0000, 0.9788, 0.6923], [0.0000, 0.1138, 0.4523], [0.0000, 0.5212, 0.1923], [0.0000, 0.6138, 0.0477], [0.0000, 0.6363, 0.4672], [0.5000, 0.6346, 0.9117], [0.5000, 0.8654, 0.4117], [0.5000, 0.3654, 0.0883], [0.5000, 0.1346, 0.5883], [0.5000, 0.3724, 0.3495], [0.5000, 0.6276, 0.6505], [0.5000, 0.1276, 0.8495], [0.5000, 0.8724, 0.1505]]}

2.
{"formula": "LuNpB4", "functional": "PBE-GGA", "state": "optimized geometry", "formation_enthalpy_0k_ev_per_atom": 0.42, "cell": [[4.6790, 0.0000, 0.0000], [2.3395, 4.0521, 0.0000], [2.3395, 1.3507, 3.8204]], "species": ["Np", "B", "B", "B", "B", "Lu"], "fractional_positions": [[0.2500, 0.2500, 0.2500], [0.2157, 0.5948, 0.5948], [0.5948, 0.5948, 0.5948], [0.5948, 0.5948, 0.2157], [0.5948, 0.2157, 0.5948], [0.0000, 0.0000, 0.0000]]}

3.
{"formula": "LuB3O6", "functional": "PBE-GGA", "state": "optimized geometry", "raw_formation_energy_ev_per_atom": -2.7814, "cell": [[-4.4560, 5.7137, 1.3707], [-8.6881, -5.1247, -6.8820], [-5.6786, -7.4856, 12.7431]], "species": ["O", "O", "O", "O", "O", "O", "O", "O", "O", "O", "O", "O", "O", "O", "O", "O", "O", "O", "O", "O", "O", "O", "O", "O", "O", "O", "O", "O", "O", "O", "O", "O", "O", "O", "O", "O", "O", "O", "O", "O", "O", "O", "O", "O", "O", "O", "O", "O", "O", "O", "O", "O", "O", "O", "O", "O", "O", "O", "O", "O", "O", "O", "O", "O", "O", "O", "O", "O", "O", "O", "O", "O", "O", "O", "O", "O", "O", "O", "O", "O", "O", "O", "O", "O", "O", "O", "O", "O", "O", "O", "O", "O", "O", "O", "O", "O", "B", "B", "B", "B", "B", "B", "B", "B", "B", "B", "B", "B", "B", "B", "B", "B", "B", "B", "B", "B", "B", "B", "B", "B", "B", "B", "B", "B", "B", "B", "B", "B", "B", "B", "B", "B", "B", "B", "B", "B", "B", "B", "B", "B", "B", "B", "B", "B", "Lu", "Lu", "Lu", "Lu", "Lu", "Lu", "Lu", "Lu", "Lu", "Lu", "Lu", "Lu", "Lu", "Lu", "Lu", "Lu"], "fractional_positions": [[0.5668, 0.1201, 0.0472], [0.5200, 0.7892, 0.5251], [0.2500, 0.3979, 0.5779], [0.9800, 0.7892, 0.5251], [0.0683, 0.5627, 0.1624], [0.7500, 0.9563, 0.6573], [0.2500, 0.6373, 0.2762], [0.4319, 0.8984, 0.2825], [0.0668, 0.6201, 0.4528], [0.0200, 0.2108, 0.4749], [0.9800, 0.7108, 0.0251], [0.4767, 0.2288, 0.2776], [0.7500, 0.3132, 0.4289], [0.5233, 0.7712, 0.7224], [0.0683, 0.9373, 0.6624], [0.4662, 0.4250, 0.6855], [0.5681, 0.3984, 0.2175], [0.9498, 0.6194, 0.5977], [0.5683, 0.4373, 0.8376], [0.9767, 0.7288, 0.2224], [0.4332, 0.6201, 0.4528], [0.7500, 0.8979, 0.9221], [0.2500, 0.8132, 0.0711], [0.4375, 0.9305, 0.4330], [0.2500, 0.1435, 0.7445], [0.2500, 0.3984, 0.0465], [0.4317, 0.5627, 0.1624], [0.2500, 0.1016, 0.5465], [0.5681, 0.1016, 0.7175], [0.9662, 0.9250, 0.8145], [0.0502, 0.1194, 0.9023], [0.0338, 0.0750, 0.1855], [0.9767, 0.7712, 0.7224], [0.7500, 0.8565, 0.2555], [0.7500, 0.6021, 0.4221], [0.2500, 0.1021, 0.0779], [0.9317, 0.4373, 0.8376], [0.0681, 0.6016, 0.7825], [0.9375, 0.0695, 0.5670], [0.7500, 0.3627, 0.7238], [0.5729, 0.7642, 0.3723], [0.0233, 0.2288, 0.2776], [0.5729, 0.7358, 0.8723], [0.0729, 0.2642, 0.1277], [0.5683, 0.0627, 0.3376], [0.9319, 0.3984, 0.2175], [0.0502, 0.3806, 0.4023], [0.9271, 0.7642, 0.3723], [0.0233, 0.2712, 0.7776], [0.7500, 0.1373, 0.2238], [0.5233, 0.7288, 0.2224], [0.4800, 0.2892, 0.9749], [0.7500, 0.1868, 0.9289], [0.9271, 0.7358, 0.8723], [0.9375, 0.4305, 0.0670], [0.4271, 0.2358, 0.6277], [0.9498, 0.8806, 0.0977], [0.4319, 0.6016, 0.7825], [0.5668, 0.3799, 0.5472], [0.9662, 0.5750, 0.3145], [0.4800, 0.2108, 0.4749], [0.7500, 0.8984, 0.4535], [0.5338, 0.9250, 0.8145], [0.2500, 0.4563, 0.8427], [0.4375, 0.5695, 0.9330], [0.0625, 0.9305, 0.4330], [0.4271, 0.2642, 0.1277], [0.7500, 0.6016, 0.9535], [0.2500, 0.8627, 0.7762], [0.0338, 0.4250, 0.6855], [0.5625, 0.0695, 0.5670], [0.4767, 0.2712, 0.7776], [0.5338, 0.5750, 0.3145], [0.0200, 0.2892, 0.9749], [0.0668, 0.8799, 0.9528], [0.5200, 0.7108, 0.0251], [0.9319, 0.1016, 0.7175], [0.5625, 0.4305, 0.0670], [0.4498, 0.3806, 0.4023], [0.4498, 0.1194, 0.9023], [0.2500, 0.6868, 0.5711], [0.9332, 0.3799, 0.5472], [0.4332, 0.8799, 0.9528], [0.0625, 0.5695, 0.9330], [0.5502, 0.6194, 0.5977], [0.2500, 0.0437, 0.3427], [0.4662, 0.0750, 0.1855], [0.4317, 0.9373, 0.6624], [0.5502, 0.8806, 0.0977], [0.7500, 0.6435, 0.7555], [0.7500, 0.5437, 0.1573], [0.9317, 0.0627, 0.3376], [0.0729, 0.2358, 0.6277], [0.0681, 0.8984, 0.2825], [0.9332, 0.1201, 0.0472], [0.2500, 0.3565, 0.2445], [0.0689, 0.8730, 0.7412], [0.5789, 0.0170, 0.6508], [0.0716, 0.1555, 0.5543], [0.9242, 0.8587, 0.8911], [0.9242, 0.6413, 0.3911], [0.5758, 0.8587, 0.8911], [0.4242, 0.3587, 0.6089], [0.9211, 0.4830, 0.1508], [0.5689, 0.1270, 0.2588], [0.5598, 0.3263, 0.4652], [0.0758, 0.3587, 0.6089], [0.9402, 0.1737, 0.9652], [0.4302, 0.1863, 0.7172], [0.4242, 0.1413, 0.1089], [0.4311, 0.6270, 0.2412], [0.5689, 0.3730, 0.7588], [0.4311, 0.8730, 0.7412], [0.4211, 0.5170, 0.8492], [0.4211, 0.9830, 0.3492], [0.4302, 0.3137, 0.2172], [0.0598, 0.8263, 0.0348], [0.4402, 0.8263, 0.0348], [0.5789, 0.4830, 0.1508], [0.0716, 0.3445, 0.0543], [0.5698, 0.8137, 0.2828], [0.9311, 0.3730, 0.7588], [0.5716, 0.8445, 0.4457], [0.0789, 0.9830, 0.3492], [0.5598, 0.1737, 0.9652], [0.0789, 0.5170, 0.8492], [0.9302, 0.8137, 0.2828], [0.5716, 0.6555, 0.9457], [0.9302, 0.6863, 0.7828], [0.9311, 0.1270, 0.2588], [0.4402, 0.6737, 0.5348], [0.0698, 0.1863, 0.7172], [0.0689, 0.6270, 0.2412], [0.9402, 0.3263, 0.4652], [0.4284, 0.3445, 0.0543], [0.9284, 0.6555, 0.9457], [0.0758, 0.1413, 0.1089], [0.9284, 0.8445, 0.4457], [0.5758, 0.6413, 0.3911], [0.0698, 0.3137, 0.2172], [0.0598, 0.6737, 0.5348], [0.4284, 0.1555, 0.5543], [0.9211, 0.0170, 0.6508], [0.5698, 0.6863, 0.7828], [0.2500, 0.9887, 0.8805], [0.7500, 0.0606, 0.8246], [0.2500, 0.2606, 0.8707], [0.2500, 0.2394, 0.3707], [0.2500, 0.5113, 0.3805], [0.7500, 0.0841, 0.4511], [0.7500, 0.4887, 0.6195], [0.7500, 0.4159, 0.9511], [0.7500, 0.0113, 0.1195], [0.7500, 0.7606, 0.6293], [0.2500, 0.9394, 0.1754], [0.2500, 0.5606, 0.6754], [0.7500, 0.4394, 0.3246], [0.2500, 0.9159, 0.5489], [0.2500, 0.5841, 0.0489], [0.7500, 0.7394, 0.1293]]}

| no. | density (g/cm³) |
| --- | --- |
| 1 | 8.2 |
| 2 | 10.4 |
| 3 | 5.7 |